Entry 1:
Here is a geometry-optimized Ba2CaZrTe structure from Alexandria. Energies are from PBE-GGA.

a = 6.408 Å, b = 6.408 Å, c = 5.291 Å
α = 90.00°, β = 90.00°, γ = 90.00°
Space group P4/mmm (No. 123)
Inequivalent atoms, fractional coordinates:
1 Ba 0.000 0.500 0.000
2 Ca 0.000 0.000 0.000
3 Zr 0.000 0.000 0.500
4 Te 0.500 0.500 0.500

Values from the calculation:
Electronic total energy   -2.853 eV per atom
DOS at the Fermi energy   1.50 states/eV per atom
Raw formation energy   316 kJ/mol of formula units


Entry 2:
Here is a geometry-optimized NdDyNp2Sb4 structure from Alexandria. Energies are from PBE-GGA.

a = 7.642 Å, b = 4.415 Å, c = 7.707 Å
α = 90.00°, β = 109.32°, γ = 90.00°
Space group P2/m (No. 10)
Inequivalent atoms, fractional coordinates:
1 Nd 0.000 0.000 0.000
2 Dy 0.500 0.500 0.000
3 Np 0.000 0.500 0.500
4 Np 0.500 0.000 0.500
5 Sb 0.253 0.000 0.747
6 Sb 0.256 0.500 0.256

Values from the calculation:
Electronic total energy   -7.134 eV per atom
DOS at the Fermi energy   2.85 states/eV per atom
Raw formation energy   -514 kJ/mol of formula units


Entry 3:
Here is a geometry-optimized YAgSb2 structure from Alexandria. Energies are from PBE-GGA.

a = 11.029 Å, b = 4.180 Å, c = 4.601 Å
α = 90.00°, β = 107.35°, γ = 90.00°
Space group Cm (No. 8)
Inequivalent atoms, fractional coordinates:
1 Y 0.000 0.000 0.000
2 Ag 0.263 0.500 0.363
3 Sb 0.024 0.500 0.512
4 Sb 0.271 0.000 0.912

Values from the calculation:
Electronic total energy   -4.873 eV per atom
DOS at the Fermi energy   0.37 states/eV per atom
Raw formation energy   -187 kJ/mol of formula units


Entry 4:
Here is a geometry-optimized CsNbMo2Br structure from Alexandria. Energies are from PBE-GGA.

a = 4.903 Å, b = 4.903 Å, c = 5.080 Å
α = 90.00°, β = 90.00°, γ = 90.00°
Space group P4/mmm (No. 123)
Inequivalent atoms, fractional coordinates:
1 Cs 0.000 0.000 0.000
2 Nb 0.500 0.500 0.000
3 Mo 0.000 0.500 0.500
4 Br 0.500 0.500 0.500

Values from the calculation:
Electronic total energy   -4.901 eV per atom
DOS at the Fermi energy   1.01 states/eV per atom
Raw formation energy   941 kJ/mol of formula units


The lowest raw formation energy belongs to which entry?
NdDyNp2Sb4


Copy entry 2 word for word.
Here is a geometry-optimized NdDyNp2Sb4 structure from Alexandria. Energies are from PBE-GGA.

a = 7.642 Å, b = 4.415 Å, c = 7.707 Å
α = 90.00°, β = 109.32°, γ = 90.00°
Space group P2/m (No. 10)
Inequivalent atoms, fractional coordinates:
1 Nd 0.000 0.000 0.000
2 Dy 0.500 0.500 0.000
3 Np 0.000 0.500 0.500
4 Np 0.500 0.000 0.500
5 Sb 0.253 0.000 0.747
6 Sb 0.256 0.500 0.256

Values from the calculation:
Electronic total energy   -7.134 eV per atom
DOS at the Fermi energy   2.85 states/eV per atom
Raw formation energy   -514 kJ/mol of formula units


Which of these has the lowest DOS at the Fermi energy?
YAgSb2